Here is an optimized crystal structure of Zr2MnMo from the Alexandria database. Energies are from PBE.

Computed properties:
ΔE_f	0.1928	eV/atom
symmetry	Immm (71)
energy relative to the lowest polymorph listed for this composition	0.1729	eV per atom

abc: 5.228 5.228 4.914
angles: 61.97 61.97 36.96
Fractional positions:
Mn 0.750 0.750 0.750
Mo 0.250 0.250 0.250
Zr 0.013 0.013 0.987
Zr 0.487 0.487 0.513

---

Here is an optimized crystal structure of AlSi2Tc from the Alexandria database. Energies are from PBE.

Computed properties:
uncorrected formation energy	-0.2	eV per formula unit
symmetry	I4/mmm (139)

abc: 4.570 4.570 4.570
angles: 129.89 129.89 73.59
Fractional positions:
Si 0.000 0.000 0.000
Si 0.500 0.500 0.000
Tc 0.250 0.750 0.500
Al 0.750 0.250 0.500

---

Number 1: calculated total energy -0.334 Ha/atom, magnetic moment 0.0 Bohr magnetons per cell. Number 2: calculated total energy -0.231 Ha/atom, magnetic moment 0.0 Bohr magnetons per cell.